Entry 1:
LaSmGeS | PBE | relaxed

**E**: -6.07 eV per atom

Cell: 4.2279 4.2279 20.7096 Å, 90.00 90.00 120.00°
Last column: nearest neighbours and their distance in Å.
Positions (direct):
La: 0.0000 0.0000 0.0000  3 S 3.02, 3 Ge 3.03
La: 0.3333 0.6667 0.6667  3 S 3.02, 3 Ge 3.03
La: 0.6667 0.3333 0.3333  3 S 3.02, 3 Ge 3.03
Sm: 0.0000 0.0000 0.5010  3 S 2.95, 3 Ge 2.97
Sm: 0.3333 0.6667 0.1677  3 S 2.95, 3 Ge 2.97
Sm: 0.6667 0.3333 0.8343  3 S 2.95, 3 Ge 2.97
Ge: 0.0000 0.0000 0.7530  3 Sm 2.97, 3 La 3.03
Ge: 0.3333 0.6667 0.4197  3 Sm 2.97, 3 La 3.03
Ge: 0.6667 0.3333 0.0864  3 Sm 2.97, 3 La 3.03
S: 0.0000 0.0000 0.2478  3 Sm 2.95, 3 La 3.02
S: 0.3333 0.6667 0.9145  3 Sm 2.95, 3 La 3.02
S: 0.6667 0.3333 0.5812  3 Sm 2.95, 3 La 3.02

Entry 2:
LaTaGeS2 | PBE | relaxed

**E**: -5.01 eV per atom

Cell: 4.7683 4.7683 5.5034 Å, 90.00 90.00 90.00°
Last column: nearest neighbours and their distance in Å.
Positions (direct):
La: 0.0000 0.0000 0.0000  2 Ge 2.75
Ta: 0.5000 0.5000 0.0000  4 La 3.37, 8 S 3.64
Ge: 0.0000 0.0000 0.5000  4 S 2.38
S: 0.0000 0.5000 0.5000  2 Ge 2.38
S: 0.5000 0.0000 0.5000  2 Ge 2.38

Entry 3:
La6GeTe3S2 | PBE | relaxed

**E**: -6.02 eV per atom

Cell: 7.5496 7.5496 7.8468 Å, 99.23 99.23 119.97°
Last column: nearest neighbours and their distance in Å.
Positions (direct):
La: 0.0911 0.4272 0.7814  2 S 2.98-2.99, 1 Ge 3.01, 3 Te 3.27-3.28
La: 0.2359 0.2359 0.2168  2 S 2.98, 1 Ge 3.01, 3 Te 3.26-3.28
La: 0.4272 0.0911 0.7814  2 S 2.98-2.99, 1 Ge 3.01, 3 Te 3.27-3.28
La: 0.5728 0.9089 0.2186  2 S 2.98-2.99, 1 Ge 3.01, 3 Te 3.27-3.28
La: 0.7641 0.7641 0.7832  2 S 2.98, 1 Ge 3.01, 3 Te 3.26-3.28
La: 0.9089 0.5728 0.2186  2 S 2.98-2.99, 1 Ge 3.01, 3 Te 3.27-3.28
Ge: 0.5000 0.5000 0.0000  6 La 3.01
Te: 0.0000 0.0000 0.5000  6 La 3.26-3.28
Te: 0.3350 0.6650 0.5000  6 La 3.27-3.28
Te: 0.6650 0.3350 0.5000  6 La 3.27-3.28
S: 0.1671 0.8329 0.0000  6 La 2.98-2.99
S: 0.8329 0.1671 0.0000  6 La 2.98-2.99

Entry 4:
La8Ge3Te4S | PBE | relaxed

**E**: -5.83 eV per atom

Cell: 9.0423 9.0423 9.0423 Å, 58.98 58.98 58.98°
Last column: nearest neighbours and their distance in Å.
Positions (direct):
La: 0.2400 0.7420 0.7420  2 Ge 3.06, 1 S 3.07, 3 Te 3.28-3.29
La: 0.2424 0.2424 0.2424  3 Ge 3.08, 3 Te 3.27
La: 0.2580 0.2580 0.7600  2 Ge 3.06, 1 S 3.07, 3 Te 3.28-3.29
La: 0.2580 0.7600 0.2580  2 Ge 3.06, 1 S 3.07, 3 Te 3.28-3.29
La: 0.7420 0.2400 0.7420  2 Ge 3.06, 1 S 3.07, 3 Te 3.28-3.29
La: 0.7420 0.7420 0.2400  2 Ge 3.06, 1 S 3.07, 3 Te 3.28-3.29
La: 0.7576 0.7576 0.7576  3 Ge 3.08, 3 Te 3.27
La: 0.7600 0.2580 0.2580  2 Ge 3.06, 1 S 3.07, 3 Te 3.28-3.29
Ge: 0.0000 0.0000 0.5000  6 La 3.06-3.08
Ge: 0.0000 0.5000 0.0000  6 La 3.06-3.08
Ge: 0.5000 0.0000 0.0000  6 La 3.06-3.08
Te: 0.0000 0.0000 0.0000  6 La 3.28
Te: 0.0000 0.5000 0.5000  6 La 3.27-3.29
Te: 0.5000 0.0000 0.5000  6 La 3.27-3.29
Te: 0.5000 0.5000 0.0000  6 La 3.27-3.29
S: 0.5000 0.5000 0.5000  6 La 3.07

Entry 5:
La4GeTeS2 | PBE | relaxed

**E**: -6.16 eV per atom

Cell: 7.4506 4.3404 7.5978 Å, 90.00 109.44 90.00°
Last column: nearest neighbours and their distance in Å.
Positions (direct):
La: 0.2304 0.0000 0.2290  3 S 2.95-3.09, 1 Ge 3.06, 2 Te 3.20
La: 0.2407 0.5000 0.7588  3 S 2.96-3.07, 2 Ge 3.07, 1 Te 3.18
La: 0.7593 0.5000 0.2412  3 S 2.96-3.07, 2 Ge 3.07, 1 Te 3.18
La: 0.7696 0.0000 0.7710  3 S 2.95-3.09, 1 Ge 3.06, 2 Te 3.20
Ge: 0.5000 0.0000 0.0000  6 La 3.06-3.07
Te: 0.5000 0.5000 0.5000  6 La 3.18-3.20
S: 0.0000 0.0000 0.5000  6 La 3.07-3.09
S: 0.0000 0.5000 0.0000  6 La 2.95-2.96

Entry 6:
La8GeTe4S3 | PBE | relaxed

**E**: -6.05 eV per atom

Cell: 8.9468 8.9468 8.9468 Å, 58.17 58.17 58.17°
Last column: nearest neighbours and their distance in Å.
Positions (direct):
La: 0.2361 0.7405 0.7405  2 S 2.97, 1 Ge 3.00, 3 Te 3.25-3.28
La: 0.2374 0.2374 0.2374  3 S 2.96, 3 Te 3.29
La: 0.2595 0.2595 0.7639  2 S 2.97, 1 Ge 3.00, 3 Te 3.25-3.28
La: 0.2595 0.7639 0.2595  2 S 2.97, 1 Ge 3.00, 3 Te 3.25-3.28
La: 0.7405 0.2361 0.7405  2 S 2.97, 1 Ge 3.00, 3 Te 3.25-3.28
La: 0.7405 0.7405 0.2361  2 S 2.97, 1 Ge 3.00, 3 Te 3.25-3.28
La: 0.7626 0.7626 0.7626  3 S 2.96, 3 Te 3.29
La: 0.7639 0.2595 0.2595  2 S 2.97, 1 Ge 3.00, 3 Te 3.25-3.28
Ge: 0.5000 0.5000 0.5000  6 La 3.00
Te: 0.0000 0.0000 0.0000  6 La 3.25
Te: 0.0000 0.5000 0.5000  6 La 3.28-3.29
Te: 0.5000 0.0000 0.5000  6 La 3.28-3.29
Te: 0.5000 0.5000 0.0000  6 La 3.28-3.29
S: 0.0000 0.0000 0.5000  6 La 2.96-2.97
S: 0.0000 0.5000 0.0000  6 La 2.96-2.97
S: 0.5000 0.0000 0.0000  6 La 2.96-2.97

Entry 7:
LaGeTeS2 | PBE | relaxed

**E**: -4.07 eV per atom

Cell: 5.2641 5.2641 6.6317 Å, 90.00 90.00 90.00°
Last column: nearest neighbours and their distance in Å.
Positions (direct):
La: 0.0000 0.0000 0.0000  4 S 2.63
Ge: 0.0000 0.0000 0.5000  2 La 3.32
Te: 0.5000 0.5000 0.5000  4 Ge 3.72
S: 0.0000 0.5000 0.0000  2 La 2.63
S: 0.5000 0.0000 0.0000  2 La 2.63

Entry 8:
LaThGeS | PBE | relaxed

**E**: -6.69 eV per atom

Cell: 4.2809 4.2809 20.4507 Å, 90.00 90.00 120.00°
Last column: nearest neighbours and their distance in Å.
Positions (direct):
La: 0.0000 0.0000 0.0000  3 S 3.03, 3 Ge 3.05
La: 0.3333 0.6667 0.6667  3 S 3.03, 3 Ge 3.05
La: 0.6667 0.3333 0.3333  3 S 3.03, 3 Ge 3.05
Th: 0.0000 0.0000 0.5017  3 S 2.96, 3 Ge 2.98
Th: 0.3333 0.6667 0.1683  3 S 2.96, 3 Ge 2.98
Th: 0.6667 0.3333 0.8350  3 S 2.96, 3 Ge 2.98
Ge: 0.0000 0.0000 0.7538  3 Th 2.98, 3 La 3.05
Ge: 0.3333 0.6667 0.4205  3 Th 2.98, 3 La 3.05
Ge: 0.6667 0.3333 0.0872  3 Th 2.98, 3 La 3.05
S: 0.0000 0.0000 0.2476  3 Th 2.96, 3 La 3.03
S: 0.3333 0.6667 0.9142  3 Th 2.96, 3 La 3.03
S: 0.6667 0.3333 0.5809  3 Th 2.96, 3 La 3.03

Formation energy without anion corrections across the listed records, respectively: -5.87 4.60 -20.35 -23.24 -13.59 -27.83 0.61 -5.67 eV/f.u..